## AcThS4 (PBE-GGA)

Data for AcThS4 after structural relaxation.

Summary:
- total energy (eV for the cell shown) = -75.46
- space-group type = Cmmm

Unit cell a=9.3982 b=9.5231 c=4.4035 alpha=90.00 beta=90.00 gamma=90.00
With the nearest neighbours (Å) after each atom.
Sites, in units of the cell vectors:
1 Ac 0.0000 0.0000 0.0000  6 S 2.95-3.01
2 Ac 0.5000 0.5000 0.0000  6 S 2.95-3.01
3 Th 0.0000 0.5000 0.5000  6 S 2.74-2.81
4 Th 0.5000 0.0000 0.5000  6 S 2.74-2.81
5 S 0.0000 0.3164 0.0000  2 Th 2.81, 1 Ac 3.01
6 S 0.0000 0.6836 0.0000  2 Th 2.81, 1 Ac 3.01
7 S 0.2082 0.0000 0.5000  1 Th 2.74, 2 Ac 2.95
8 S 0.2918 0.5000 0.5000  1 Th 2.74, 2 Ac 2.95
9 S 0.5000 0.1836 0.0000  2 Th 2.81, 1 Ac 3.01
10 S 0.5000 0.8164 0.0000  2 Th 2.81, 1 Ac 3.01
11 S 0.7082 0.5000 0.5000  1 Th 2.74, 2 Ac 2.95
12 S 0.7918 0.0000 0.5000  1 Th 2.74, 2 Ac 2.95



## Sr5Bi2SO (PBE-GGA)

Data for Sr5Bi2SO after structural relaxation.

Summary:
- total energy (eV for the cell shown) = -39.27
- space-group type = P4/mmm

Unit cell a=4.9475 b=4.9475 c=11.8372 alpha=90.00 beta=90.00 gamma=90.00
With the nearest neighbours (Å) after each atom.
Sites, in units of the cell vectors:
1 Sr 0.0000 0.0000 0.0000  2 Bi 3.42, 4 S 3.50
2 Sr 0.0000 0.5000 0.5000  2 O 2.47
3 Sr 0.5000 0.0000 0.5000  2 O 2.47
4 Sr 0.5000 0.5000 0.2440  1 S 2.89, 1 O 3.03
5 Sr 0.5000 0.5000 0.7560  1 S 2.89, 1 O 3.03
6 Bi 0.0000 0.0000 0.2886  9 Sr 3.42-3.54
7 Bi 0.0000 0.0000 0.7114  9 Sr 3.42-3.54
8 S 0.5000 0.5000 0.0000  2 Sr 2.89
9 O 0.5000 0.5000 0.5000  4 Sr 2.47



## Ta2Ge4Os (PBE-GGA)

Data for Ta2Ge4Os after structural relaxation.

Summary:
- total energy (eV for the cell shown) = -106.62
- ΔH_f (0 K) (eV per atom) = 0.013
- space-group type = C2/m

Unit cell a=14.9669 b=3.0516 c=5.8554 alpha=90.00 beta=112.02 gamma=90.00
With the nearest neighbours (Å) after each atom.
Sites, in units of the cell vectors:
1 Ta 0.2468 0.0000 0.2481  6 Ge 2.64-2.78
2 Ta 0.2532 0.5000 0.7519  6 Ge 2.64-2.78
3 Ta 0.7468 0.5000 0.2481  6 Ge 2.64-2.78
4 Ta 0.7532 0.0000 0.7519  6 Ge 2.64-2.78
5 Ge 0.1060 0.5000 0.3263  2 Os 2.49, 3 Ta 2.64-2.78
6 Ge 0.1122 0.0000 0.7847  1 Os 2.45, 3 Ta 2.67-2.71
7 Ge 0.3878 0.5000 0.2153  1 Os 2.45, 3 Ta 2.67-2.71
8 Ge 0.3940 0.0000 0.6737  2 Os 2.49, 3 Ta 2.64-2.78
9 Ge 0.6060 0.0000 0.3263  2 Os 2.49, 3 Ta 2.64-2.78
10 Ge 0.6122 0.5000 0.7847  1 Os 2.45, 3 Ta 2.67-2.71
11 Ge 0.8878 0.0000 0.2153  1 Os 2.45, 3 Ta 2.67-2.71
12 Ge 0.8940 0.5000 0.6737  2 Os 2.49, 3 Ta 2.64-2.78
13 Os 0.0000 0.0000 0.0000  6 Ge 2.45-2.49
14 Os 0.5000 0.5000 0.0000  6 Ge 2.45-2.49



## Tb8Ru3Pb2 (PBE-GGA)

Data for Tb8Ru3Pb2 after structural relaxation.

Summary:
- total energy (eV for the cell shown) = -76.55
- ΔH_f (0 K) (eV per atom) = -0.328
- space-group type = P2/m

Unit cell a=8.9833 b=4.9474 c=8.9941 alpha=90.00 beta=114.06 gamma=90.00
With the nearest neighbours (Å) after each atom.
Sites, in units of the cell vectors:
1 Tb 0.1071 0.0000 0.3925  2 Ru 2.94-2.95, 2 Pb 3.21, 1 Tb 3.24
2 Tb 0.1473 0.5000 0.8646  3 Ru 2.89-2.97, 1 Pb 3.23
3 Tb 0.3639 0.5000 0.6474  3 Ru 2.90-2.96, 1 Pb 3.23
4 Tb 0.3894 0.0000 0.1113  4 Ru 2.95-2.99
5 Tb 0.6106 0.0000 0.8887  4 Ru 2.95-2.99
6 Tb 0.6361 0.5000 0.3526  3 Ru 2.90-2.96, 1 Pb 3.23
7 Tb 0.8527 0.5000 0.1354  3 Ru 2.89-2.97, 1 Pb 3.23
8 Tb 0.8929 0.0000 0.6075  2 Ru 2.94-2.95, 2 Pb 3.21, 1 Tb 3.24
9 Ru 0.2517 0.0000 0.7519  8 Tb 2.94-2.97
10 Ru 0.5000 0.5000 0.0000  8 Tb 2.89-2.99
11 Ru 0.7483 0.0000 0.2481  8 Tb 2.94-2.97
12 Pb 0.2438 0.5000 0.2569  8 Tb 3.21-3.31
13 Pb 0.7562 0.5000 0.7431  8 Tb 3.21-3.31



## Tb2Cd6Ag (PBE-GGA)

Data for Tb2Cd6Ag after structural relaxation.

Summary:
- total energy (eV for the cell shown) = -19.28
- ΔH_f (0 K) (eV per atom) = -0.186
- space-group type = C2/m

Unit cell a=8.6366 b=8.6366 c=3.2881 alpha=90.06 beta=90.06 gamma=60.00
With the nearest neighbours (Å) after each atom.
Sites, in units of the cell vectors:
1 Tb 0.1667 0.1667 0.0000  2 Tb 3.29, 12 Cd 3.34
2 Tb 0.8333 0.8333 0.0000  2 Tb 3.29, 12 Cd 3.34
3 Cd 0.1730 0.5000 0.5012  3 Cd 2.82-2.99
4 Cd 0.1729 0.8271 0.5000  3 Cd 2.82-2.99
5 Cd 0.5000 0.1730 0.5012  3 Cd 2.82-2.99
6 Cd 0.5000 0.8270 0.4988  3 Cd 2.82-2.99
7 Cd 0.8271 0.1729 0.5000  3 Cd 2.82-2.99
8 Cd 0.8270 0.5000 0.4988  3 Cd 2.82-2.99
9 Ag 0.5000 0.5000 0.0000  12 Cd 3.26-3.27, 2 Ag 3.29



## PmNi4Ge4 (PBE-GGA)

Data for PmNi4Ge4 after structural relaxation.

Summary:
- total energy (eV for the cell shown) = -49.32
- ΔH_f (0 K) (eV per atom) = -0.331
- space-group type = I4/m

Unit cell a=6.1558 b=6.1558 c=6.1558 alpha=97.94 beta=97.94 gamma=136.36
With the nearest neighbours (Å) after each atom.
Sites, in units of the cell vectors:
1 Pm 0.0000 0.0000 0.0000  4 Ni 3.06, 4 Ge 3.24
2 Ni 0.1852 0.3301 0.5153  5 Ge 2.31-2.53
3 Ni 0.3301 0.8148 0.1449  5 Ge 2.31-2.53
4 Ni 0.6699 0.1852 0.8551  5 Ge 2.31-2.53
5 Ni 0.8148 0.6699 0.4847  5 Ge 2.31-2.53
6 Ge 0.1236 0.6181 0.7417  5 Ni 2.31-2.53
7 Ge 0.3819 0.1236 0.5055  5 Ni 2.31-2.53
8 Ge 0.6181 0.8764 0.4945  5 Ni 2.31-2.53
9 Ge 0.8764 0.3819 0.2583  5 Ni 2.31-2.53



## MnRe2Ni (PBE-GGA)

Data for MnRe2Ni after structural relaxation.

Summary:
- total energy (eV for the cell shown) = -39.55
- ΔH_f (0 K) (eV per atom) = 0.075
- space-group type = P4mm

Unit cell a=3.1218 b=3.1218 c=5.4913 alpha=90.00 beta=90.00 gamma=90.00
With the nearest neighbours (Å) after each atom.
Sites, in units of the cell vectors:
1 Mn 0.0000 0.0000 0.0000  4 Ni 2.48, 5 Re 2.53-2.67
2 Re 0.0000 0.0000 0.4600  1 Mn 2.53, 4 Ni 2.61, 4 Re 2.65
3 Re 0.5000 0.5000 0.7262  2 Ni 2.63-2.86, 4 Re 2.65, 4 Mn 2.67
4 Ni 0.5000 0.5000 0.2057  4 Mn 2.48, 5 Re 2.61-2.63



## Al2PtBr (PBE-GGA)

Data for Al2PtBr after structural relaxation.

Summary:
- total energy (eV for the cell shown) = -55.40
- space-group type = F-43m

Unit cell a=6.7432 b=6.7432 c=6.7432 alpha=90.00 beta=90.00 gamma=90.00
With the nearest neighbours (Å) after each atom.
Sites, in units of the cell vectors:
1 Al 0.0000 0.0000 0.0000  4 Br 2.92, 4 Al 2.92
2 Al 0.0000 0.5000 0.5000  4 Br 2.92, 4 Al 2.92
3 Al 0.2500 0.2500 0.2500  4 Al 2.92, 4 Pt 2.92
4 Al 0.2500 0.7500 0.7500  4 Al 2.92, 4 Pt 2.92
5 Al 0.5000 0.0000 0.5000  4 Br 2.92, 4 Al 2.92
6 Al 0.5000 0.5000 0.0000  4 Br 2.92, 4 Al 2.92
7 Al 0.7500 0.2500 0.7500  4 Al 2.92, 4 Pt 2.92
8 Al 0.7500 0.7500 0.2500  4 Al 2.92, 4 Pt 2.92
9 Pt 0.0000 0.0000 0.5000  4 Br 2.92, 4 Al 2.92
10 Pt 0.0000 0.5000 0.0000  4 Br 2.92, 4 Al 2.92
11 Pt 0.5000 0.0000 0.0000  4 Br 2.92, 4 Al 2.92
12 Pt 0.5000 0.5000 0.5000  4 Br 2.92, 4 Al 2.92
13 Br 0.2500 0.2500 0.7500  4 Al 2.92, 4 Pt 2.92
14 Br 0.2500 0.7500 0.2500  4 Al 2.92, 4 Pt 2.92
15 Br 0.7500 0.2500 0.2500  4 Al 2.92, 4 Pt 2.92
16 Br 0.7500 0.7500 0.7500  4 Pt 2.92, 4 Al 2.92